(1)
Below is crystalline Ir7Ru at its relaxed geometry, with properties calculated at the PBE level. Values from VASP.

Quantum ESPRESSO input file:
```
&SYSTEM
  ibrav = 0, nat = 8, ntyp = 2
/
ATOMIC_SPECIES
Ru 101.07 Ru.upf
Ir 192.22 Ir.upf
ATOMIC_POSITIONS crystal
Ru 0.000 0.000 0.000
Ir 0.500 0.000 0.500
Ir 0.500 0.000 0.000
Ir 0.500 0.500 0.000
Ir 0.000 0.500 0.000
Ir 0.000 0.000 0.500
Ir 0.000 0.500 0.500
Ir 0.500 0.500 0.500
CELL_PARAMETERS angstrom
5.465 0.000 0.000
2.733 4.733 0.000
2.733 1.578 4.462
```

* energy of formation: -0.02 eV per atom
* SG: No. 225

(2)
Below is crystalline Ba2TlTc at its relaxed geometry, with properties calculated at the PBE level. Values from VASP.

Quantum ESPRESSO input file:
```
&SYSTEM
  ibrav = 0, nat = 4, ntyp = 3
/
ATOMIC_SPECIES
Ba 137.33 Ba.upf
Tl 204.38 Tl.upf
Tc 98.00 Tc.upf
ATOMIC_POSITIONS crystal
Ba 0.750 0.750 0.750
Ba 0.250 0.250 0.250
Tl 0.500 0.500 0.500
Tc 0.000 0.000 0.000
CELL_PARAMETERS angstrom
-1.503 -2.816 4.814
-4.807 -3.201 0.092
0.370 -5.760 0.211
```

* distance to the lowest polymorph of the same formula: 0.197 eV per atom
* energy of formation: 0.59 eV per atom
* SG: No. 225

(3)
Below is crystalline Th2MgSe5 at its relaxed geometry, with properties calculated at the PBE level. Values from VASP.

Quantum ESPRESSO input file:
```
&SYSTEM
  ibrav = 0, nat = 16, ntyp = 3
/
ATOMIC_SPECIES
Se 78.96 Se.upf
Th 232.04 Th.upf
Mg 24.30 Mg.upf
ATOMIC_POSITIONS crystal
Se 0.074 0.750 0.000
Se 0.861 0.684 0.561
Se 0.926 0.250 0.000
Se 0.700 0.184 0.561
Se 0.467 0.428 0.173
Se 0.706 0.928 0.173
Se 0.294 0.072 0.827
Se 0.533 0.572 0.827
Se 0.139 0.316 0.439
Se 0.300 0.816 0.439
Th 0.122 0.422 0.794
Th 0.328 0.078 0.206
Th 0.878 0.578 0.206
Th 0.672 0.922 0.794
Mg 0.000 0.000 0.500
Mg 0.500 0.500 0.500
CELL_PARAMETERS angstrom
-4.335 4.309 3.107
-5.687 -2.625 -4.296
1.211 -7.357 4.328
```

* SG: No. 15
* E_form (uncorrected): -1.620 eV/atom

For each record above, in turn, the calculated M_tot values are 0.00; 2.02; 0.00 Bohr magnetons per cell.